PBE TbLuGa, relaxed; energy of formation = -272 meV per atom; DOS at the Fermi energy = 2.39 states/eV per cell; V = 25.5 A^3/atom; size of the total moment = 0.000 μB per atom
1.0
-2.213 -2.874 -0.173
2.740 -1.891 -3.641
1.048 -1.089 4.697
Lu Ga Tb
1 1 1
Cartesian
-0.212 -0.275 -0.017 Lu
0.993 -2.160 1.869 Ga
0.793 -3.420 -0.970 Tb